Computed, not measured: a crystal of ZrFe4Rh relaxed with PBEsol at the SCAN level of DFT.

Its crystal system is cubic. The calculation puts the size of the total moment at 41.2 Bohr magnetons per cell. For the density of states at the Fermi level, the calculation gives 0.711 states/eV per atom. For the calculated total energy, the calculation gives -23.0614 eV/atom.

The structure belongs to space group F-43m (No. 216); the cell edges are 6.7399, 6.7399 and 6.7399 Å and the angles 90.00°, 90.00° and 90.00°. Symmetry generates all atoms from Zr at (0.0000, 0.0000, 0.0000), Fe at (0.1249, 0.1249, 0.3751) and Rh at (0.2500, 0.2500, 0.7500).

---

Computed, not measured: a crystal of Zr3FeRh relaxed with PBEsol at the SCAN level of DFT.

Its crystal system is cubic. The calculation puts the size of the total moment at 3.0 Bohr magnetons per cell. For the density of states at the Fermi level, the calculation gives 1.704 states/eV per atom. For the calculated total energy, the calculation gives -28.3017 eV/atom.

The structure belongs to space group Pm-3m (No. 221); the cell edges are 4.9012, 4.9012 and 4.9012 Å and the angles 90.00°, 90.00° and 90.00°. Symmetry generates all atoms from Zr at (0.0000, 0.0000, 0.5000), Fe at (0.5000, 0.5000, 0.5000) and Rh at (0.0000, 0.0000, 0.0000).

---

calculated total energy of number 1 (ZrFe4Rh)?
-23.0614 eV/atom